[1]
! BaSbPbO6, relaxed, DFT PBE; values from VASP
! Space-group type ... P-31c, No. 163
&SYSTEM
  ibrav = 0, nat = 18, ntyp = 4
/
ATOMIC_SPECIES
Ba 137.33 Ba.upf
Sb 121.76 Sb.upf
Pb 207.20 Pb.upf
O 16.00 O.upf
ATOMIC_POSITIONS angstrom
Ba 0.0000 0.0000 0.0000
Ba 0.0000 0.0000 5.7746
Sb 0.0000 3.2444 2.8873
Sb 2.8098 1.6222 8.6618
Pb 0.0000 3.2444 8.6618
Pb 2.8098 1.6222 2.8873
O -0.9686 1.9132 1.7189
O -1.6372 3.0712 4.0557
O 0.9686 1.9132 4.0557
O -0.6686 4.7489 1.7189
O 2.1412 0.1178 7.4934
O 1.1726 1.7954 9.8303
O 1.6372 3.0712 1.7189
O 0.6686 4.7489 4.0557
O 3.4783 0.1178 9.8303
O 1.8411 2.9535 7.4934
O 4.4470 1.7954 7.4934
O 3.7784 2.9535 9.8303
CELL_PARAMETERS angstrom
5.6195 0.0000 0.0000
-2.8098 4.8666 0.0000
0.0000 0.0000 11.5491

---

[2]
! Ba3Sb2PbO8, relaxed, DFT PBE; values from VASP
! Space-group type ... P-3m1, No. 164
&SYSTEM
  ibrav = 0, nat = 14, ntyp = 4
/
ATOMIC_SPECIES
Ba 137.33 Ba.upf
Sb 121.76 Sb.upf
Pb 207.20 Pb.upf
O 16.00 O.upf
ATOMIC_POSITIONS angstrom
Ba 0.0000 0.0000 0.0000
Ba 0.0000 3.6608 5.1759
Ba 3.1704 1.8304 2.8696
Sb 0.0000 3.6608 1.5277
Sb 3.1704 1.8304 6.5178
Pb 0.0000 0.0000 4.0228
O 0.0000 1.8666 2.4306
O -1.5538 4.5579 2.4306
O 0.0000 3.6608 7.5911
O 1.6165 0.9333 5.6149
O 1.5538 4.5579 2.4306
O 3.1704 1.8304 0.4544
O 4.7242 0.9333 5.6149
O 3.1704 3.6246 5.6149
CELL_PARAMETERS angstrom
6.3408 0.0000 0.0000
-3.1704 5.4913 0.0000
0.0000 0.0000 8.0455

---

[3]
! Ba2SbPbO, relaxed, DFT PBE; values from VASP
! Space-group type ... P4/mmm, No. 123
&SYSTEM
  ibrav = 0, nat = 5, ntyp = 4
/
ATOMIC_SPECIES
Ba 137.33 Ba.upf
Sb 121.76 Sb.upf
Pb 207.20 Pb.upf
O 16.00 O.upf
ATOMIC_POSITIONS angstrom
Ba 0.0000 2.7587 0.0000
Ba 2.7587 0.0000 0.0000
Sb 0.0000 0.0000 2.5332
Pb 2.7587 2.7587 2.5332
O 2.7587 2.7587 0.0000
CELL_PARAMETERS angstrom
5.5175 0.0000 0.0000
0.0000 5.5175 0.0000
0.0000 0.0000 5.0665

---

[4]
! Ba3ScPb2O9, relaxed, DFT PBE; values from VASP
! Space-group type ... P-3m1, No. 164
&SYSTEM
  ibrav = 0, nat = 15, ntyp = 4
/
ATOMIC_SPECIES
Ba 137.33 Ba.upf
Sc 44.96 Sc.upf
Pb 207.20 Pb.upf
O 16.00 O.upf
ATOMIC_POSITIONS angstrom
Ba 0.0000 0.0000 0.0000
Ba 0.0000 3.5106 4.9719
Ba 3.0403 1.7553 2.4926
Sc 0.0000 0.0000 3.7323
Pb 0.0000 3.5106 1.3028
Pb 3.0403 1.7553 6.1617
O -1.5202 2.6330 0.0000
O 0.0000 1.7202 2.5200
O -1.5506 4.4059 2.5200
O 1.4898 0.8601 4.9445
O 3.0403 0.0000 0.0000
O 1.5202 2.6330 0.0000
O 1.5506 4.4059 2.5200
O 4.5909 0.8601 4.9445
O 3.0403 3.5457 4.9445
CELL_PARAMETERS angstrom
6.0806 0.0000 0.0000
-3.0403 5.2660 0.0000
0.0000 0.0000 7.4645

---

[5]
! BaPbSe2O6, relaxed, DFT PBE; values from VASP
! Space-group type ... R-3, No. 148
&SYSTEM
  ibrav = 0, nat = 10, ntyp = 4
/
ATOMIC_SPECIES
Ba 137.33 Ba.upf
Pb 207.20 Pb.upf
Se 78.96 Se.upf
O 16.00 O.upf
ATOMIC_POSITIONS angstrom
Ba 0.0000 0.0000 0.0000
Pb 0.0000 0.0000 9.1638
Se 0.0000 0.0000 5.2088
Se 0.0000 0.0000 13.1188
O -1.4027 -1.6692 7.6934
O -2.1470 0.3802 10.6342
O -0.7442 2.0494 7.6934
O 0.7442 -2.0494 10.6342
O 2.1470 -0.3802 7.6934
O 1.4027 1.6692 10.6342
CELL_PARAMETERS angstrom
2.9990 1.7314 6.1092
-2.9990 1.7314 6.1092
0.0000 -3.4629 6.1092

---

[6]
! BaSiPbO4, relaxed, DFT PBE; values from VASP
! Space-group type ... P2_1/m, No. 11
&SYSTEM
  ibrav = 0, nat = 14, ntyp = 4
/
ATOMIC_SPECIES
Ba 137.33 Ba.upf
Si 28.09 Si.upf
Pb 207.20 Pb.upf
O 16.00 O.upf
ATOMIC_POSITIONS angstrom
Ba -0.0998 1.4635 3.1251
Ba 3.2928 4.3904 3.7427
Si 0.7991 4.3904 1.4042
Si 2.3939 1.4635 5.4636
Pb 1.8637 1.4635 0.1104
Pb 1.3293 4.3904 6.7575
O -2.5670 4.3904 6.6508
O -0.6046 4.3904 2.2900
O 1.7138 3.0661 1.8197
O 1.7138 5.7147 1.8197
O 1.4792 0.1392 5.0481
O 1.4792 2.7877 5.0481
O 3.7976 1.4635 4.5778
O 5.7600 1.4635 0.2170
CELL_PARAMETERS angstrom
6.2170 0.0000 0.0000
0.0000 5.8539 0.0000
-3.0240 0.0000 6.8678

---

[7]
! BaSi2PbO, relaxed, DFT PBE; values from VASP
! Space-group type ... P4/mmm, No. 123
&SYSTEM
  ibrav = 0, nat = 5, ntyp = 4
/
ATOMIC_SPECIES
Ba 137.33 Ba.upf
Si 28.09 Si.upf
Pb 207.20 Pb.upf
O 16.00 O.upf
ATOMIC_POSITIONS angstrom
Ba 0.0000 0.0000 0.0000
Si 0.0000 2.8656 0.0000
Si 2.8656 0.0000 0.0000
Pb 0.0000 0.0000 3.3258
O 2.8656 2.8656 3.3258
CELL_PARAMETERS angstrom
5.7311 0.0000 0.0000
0.0000 5.7311 0.0000
0.0000 0.0000 6.6517

---

[8]
! Ba4SmPb3O12, relaxed, DFT PBE; values from VASP
! Space-group type ... Im-3m, No. 229
&SYSTEM
  ibrav = 0, nat = 20, ntyp = 4
/
ATOMIC_SPECIES
Ba 137.33 Ba.upf
Sm 150.36 Sm.upf
Pb 207.20 Pb.upf
O 16.00 O.upf
ATOMIC_POSITIONS angstrom
Ba 2.1979 2.1979 -2.1979
Ba 2.1979 -2.1979 2.1979
Ba -2.1979 2.1979 2.1979
Ba 2.1979 2.1979 2.1979
Sm 0.0000 0.0000 0.0000
Pb 4.3958 0.0000 0.0000
Pb 0.0000 4.3958 0.0000
Pb 0.0000 0.0000 4.3958
O 2.2665 0.0000 0.0000
O 6.5250 0.0000 0.0000
O 4.3958 2.1979 0.0000
O 4.3958 0.0000 2.1979
O 0.0000 2.2665 0.0000
O 0.0000 0.0000 2.2665
O 2.1979 4.3958 0.0000
O 2.1979 0.0000 4.3958
O 0.0000 6.5250 0.0000
O 0.0000 0.0000 6.5250
O 0.0000 4.3958 2.1979
O 0.0000 2.1979 4.3958
CELL_PARAMETERS angstrom
-4.3958 4.3958 4.3958
4.3958 -4.3958 4.3958
4.3958 4.3958 -4.3958

---

Calculated energy relative to the elements, uncorrected (eV/atom), listed in the same order as above: -1.453; -1.779; -1.235; -2.049; -1.357; -2.416; 1.898; -1.923